(one)
An optimized crystal structure of NbAs2I, computed with PBE.

Calculated values
Space group: Fm-3m, No. 225
Mass density in g cm⁻³: 7.510
Crystal system: cubic

```
16
Lattice="6.8891 0.0000 0.0000 0.0000 6.8891 0.0000 0.0000 0.0000 6.8891" Properties=species:S:1:pos:R:3 pbc="T T T"
Nb 0.0000 0.0000 0.0000
Nb 0.0000 3.4445 3.4445
Nb 3.4445 0.0000 3.4445
Nb 3.4445 3.4445 0.0000
As 1.7223 1.7223 1.7223
As 1.7223 1.7223 5.1668
As 1.7223 5.1668 1.7223
As 1.7223 5.1668 5.1668
As 5.1668 1.7223 1.7223
As 5.1668 1.7223 5.1668
As 5.1668 5.1668 1.7223
As 5.1668 5.1668 5.1668
I 0.0000 0.0000 3.4445
I 0.0000 3.4445 0.0000
I 3.4445 0.0000 0.0000
I 3.4445 3.4445 3.4445
```

---

(two)
An optimized crystal structure of NbAs2I, computed with PBE.

Calculated values
Space group: I-42d, No. 122
Mass density in g cm⁻³: 4.636
Crystal system: tetragonal

```
16
Lattice="6.5944 0.0000 0.0000 0.0000 6.5944 0.0000 0.0000 0.0000 12.1801" Properties=species:S:1:pos:R:3 pbc="T T T"
Nb 0.0000 0.0000 0.0000
Nb 0.0000 3.2972 3.0450
Nb 3.2972 0.0000 9.1351
Nb 3.2972 3.2972 6.0901
As 1.0341 1.6486 1.5225
As 1.6486 4.3313 4.5675
As 1.6486 5.5602 10.6576
As 2.2630 1.6486 7.6126
As 4.3313 4.9458 7.6126
As 4.9458 1.0341 10.6576
As 4.9458 2.2630 4.5675
As 5.5602 4.9458 1.5225
I 0.0000 0.0000 6.0901
I 0.0000 3.2972 9.1351
I 3.2972 0.0000 3.0450
I 3.2972 3.2972 0.0000
```

---

Of them, (one) has the lowest stability.

---

(one)
An optimized crystal structure of NbAsIO2, computed with PBE.

Calculated values
Space group: P4/mmm, No. 123
Mass density in g cm⁻³: 5.366
Crystal system: tetragonal

```
5
Lattice="3.9784 0.0000 0.0000 0.0000 3.9784 0.0000 0.0000 0.0000 6.3887" Properties=species:S:1:pos:R:3 pbc="T T T"
Nb 0.0000 0.0000 0.0000
As 1.9892 1.9892 3.1943
I 0.0000 0.0000 3.1943
O 0.0000 1.9892 0.0000
O 1.9892 0.0000 0.0000
```

---

(two)
An optimized crystal structure of NbAsIO2, computed with PBE.

Calculated values
Space group: P4/mmm, No. 123
Mass density in g cm⁻³: 5.889
Crystal system: tetragonal

```
5
Lattice="4.0068 0.0000 0.0000 0.0000 4.0068 0.0000 0.0000 0.0000 5.7389" Properties=species:S:1:pos:R:3 pbc="T T T"
Nb 0.0000 0.0000 0.0000
As 2.0034 2.0034 2.8694
I 2.0034 2.0034 0.0000
O 0.0000 2.0034 2.8694
O 2.0034 0.0000 2.8694
```

---

Of them, (two) has the lowest stability.

---

(one)
An optimized crystal structure of NbAsI2O, computed with PBE.

Calculated values
Space group: P4/mmm, No. 123
Mass density in g cm⁻³: 5.755
Crystal system: tetragonal

```
5
Lattice="5.7827 0.0000 0.0000 0.0000 5.7827 0.0000 0.0000 0.0000 3.7765" Properties=species:S:1:pos:R:3 pbc="T T T"
Nb 0.0000 0.0000 0.0000
As 2.8913 2.8913 1.8883
I 0.0000 2.8913 1.8883
I 2.8913 0.0000 1.8883
O 2.8913 2.8913 0.0000
```

---

(two)
An optimized crystal structure of NbAsI2O, computed with PBE.

Calculated values
Space group: P4/mmm, No. 123
Mass density in g cm⁻³: 5.806
Crystal system: tetragonal

```
5
Lattice="5.6759 0.0000 0.0000 0.0000 5.6759 0.0000 0.0000 0.0000 3.8855" Properties=species:S:1:pos:R:3 pbc="T T T"
Nb 0.0000 0.0000 0.0000
As 2.8380 2.8380 1.9427
I 0.0000 2.8380 0.0000
I 2.8380 0.0000 0.0000
O 0.0000 0.0000 1.9427
```

---

Of them, (one) has the lowest stability.

---

(one)
An optimized crystal structure of NbAsPd2I, computed with PBE.

Calculated values
Space group: P4/mmm, No. 123
Mass density in g cm⁻³: 6.411
Crystal system: tetragonal

```
5
Lattice="4.8509 0.0000 0.0000 0.0000 4.8509 0.0000 0.0000 0.0000 5.5866" Properties=species:S:1:pos:R:3 pbc="T T T"
Nb 0.0000 0.0000 0.0000
As 2.4254 2.4254 0.0000
Pd 0.0000 2.4254 2.7933
Pd 2.4254 0.0000 2.7933
I 2.4254 2.4254 2.7933
```

---

(two)
An optimized crystal structure of NbAsPd2I, computed with PBE.

Calculated values
Space group: P4/mmm, No. 123
Mass density in g cm⁻³: 6.865
Crystal system: tetragonal

```
5
Lattice="4.6419 0.0000 0.0000 0.0000 4.6419 0.0000 0.0000 0.0000 5.6981" Properties=species:S:1:pos:R:3 pbc="T T T"
Nb 0.0000 0.0000 0.0000
As 2.3209 2.3209 2.8491
Pd 0.0000 2.3209 2.8491
Pd 2.3209 0.0000 2.8491
I 2.3209 2.3209 0.0000
```

---

Of them, (one) has the lowest stability.

---

(one)
An optimized crystal structure of NbSbAsI2, computed with PBE.

Calculated values
Space group: P4/mmm, No. 123
Mass density in g cm⁻³: 5.447
Crystal system: tetragonal

```
5
Lattice="5.4647 0.0000 0.0000 0.0000 5.4647 0.0000 0.0000 0.0000 5.5478" Properties=species:S:1:pos:R:3 pbc="T T T"
Nb 0.0000 0.0000 0.0000
Sb 2.7323 2.7323 0.0000
As 2.7323 2.7323 2.7739
I 0.0000 2.7323 2.7739
I 2.7323 0.0000 2.7739
```

---

(two)
An optimized crystal structure of NbSbAsI2, computed with PBE.

Calculated values
Space group: P4/mmm, No. 123
Mass density in g cm⁻³: 5.353
Crystal system: tetragonal

```
5
Lattice="5.4628 0.0000 0.0000 0.0000 5.4628 0.0000 0.0000 0.0000 5.6488" Properties=species:S:1:pos:R:3 pbc="T T T"
Nb 0.0000 0.0000 0.0000
Sb 0.0000 0.0000 2.8244
As 2.7314 2.7314 2.8244
I 0.0000 2.7314 0.0000
I 2.7314 0.0000 0.0000
```

---

Of them, (one) has the lowest stability.

---

(one)
An optimized crystal structure of NbAsSe2I, computed with PBE.

Calculated values
Space group: P4/mmm, No. 123
Mass density in g cm⁻³: 5.652
Crystal system: tetragonal

```
5
Lattice="4.9499 0.0000 0.0000 0.0000 4.9499 0.0000 0.0000 0.0000 5.4277" Properties=species:S:1:pos:R:3 pbc="T T T"
Nb 0.0000 0.0000 0.0000
As 0.0000 0.0000 2.7139
Se 0.0000 2.4749 0.0000
Se 2.4749 0.0000 0.0000
I 2.4749 2.4749 2.7139
```

---

(two)
An optimized crystal structure of NbAsSe2I, computed with PBE.

Calculated values
Space group: P4/mmm, No. 123
Mass density in g cm⁻³: 5.107
Crystal system: tetragonal

```
5
Lattice="5.2504 0.0000 0.0000 0.0000 5.2504 0.0000 0.0000 0.0000 5.3391" Properties=species:S:1:pos:R:3 pbc="T T T"
Nb 0.0000 0.0000 0.0000
As 2.6252 2.6252 0.0000
Se 0.0000 2.6252 2.6696
Se 2.6252 0.0000 2.6696
I 2.6252 2.6252 2.6696
```

---

Of them, (two) has the lowest stability.

---

(one)
An optimized crystal structure of NbTeAsI2, computed with PBE.

Calculated values
Space group: P4/mmm, No. 123
Mass density in g cm⁻³: 5.276
Crystal system: tetragonal

```
5
Lattice="5.6410 0.0000 0.0000 0.0000 5.6410 0.0000 0.0000 0.0000 5.4324" Properties=species:S:1:pos:R:3 pbc="T T T"
Nb 0.0000 0.0000 0.0000
Te 0.0000 0.0000 2.7162
As 2.8205 2.8205 2.7162
I 0.0000 2.8205 0.0000
I 2.8205 0.0000 0.0000
```

---

(two)
An optimized crystal structure of NbTeAsI2, computed with PBE.

Calculated values
Space group: P4/mmm, No. 123
Mass density in g cm⁻³: 5.380
Crystal system: tetragonal

```
5
Lattice="5.4718 0.0000 0.0000 0.0000 5.4718 0.0000 0.0000 0.0000 5.6620" Properties=species:S:1:pos:R:3 pbc="T T T"
Nb 0.0000 0.0000 0.0000
Te 2.7359 2.7359 0.0000
As 2.7359 2.7359 2.8310
I 0.0000 2.7359 2.8310
I 2.7359 0.0000 2.8310
```

---

Of them, (two) has the lowest stability.